Record 1
VASP calculation (PBE) on a geometry-optimized Ac2TeHO structure.

Lattice parameters (Å, degrees): 4.204 4.204 7.413 106.47 106.47 90.00
Last column: magnetic moment on the atom in μB.
Element x y z (fractional)
1 Ac 0.351 0.351 0.702  0.09
2 Te 0.000 0.000 0.000  -0.01
3 O 0.750 0.250 0.500  0.02
4 Ac 0.649 0.649 0.298  0.09
5 H 0.250 0.750 0.500  0.00

## Properties
Calculated volume: 120 Å³ per cell
Energy: -5.80 eV per atom
ρ: 8.283 g/cm³
Magnetization: 0.56 μB per formula unit

***

Record 2
VASP calculation (PBE) on a geometry-optimized Ac2TiHO6 structure.

Lattice parameters (Å, degrees): 5.929 4.273 10.350 90.00 92.66 90.00
Last column: magnetic moment on the atom in μB.
Element x y z (fractional)
1 O 0.651 0.800 0.536  0.15
2 O 0.300 0.251 0.892  0.23
3 H 0.500 0.000 0.500  0.00
4 H 0.000 0.500 0.000  0.00
5 O 0.700 0.749 0.108  0.23
6 O 0.200 0.751 0.608  0.23
7 O 0.421 0.167 0.166  0.09
8 Ac 0.997 0.853 0.814  0.01
9 Ac 0.503 0.353 0.686  0.01
10 O 0.079 0.667 0.334  0.09
11 O 0.921 0.333 0.666  0.09
12 O 0.349 0.200 0.464  0.15
13 Ti 0.000 0.500 0.500  -0.05
14 Ac 0.497 0.647 0.314  0.01
15 O 0.849 0.300 0.964  0.15
16 O 0.800 0.249 0.392  0.23
17 Ti 0.500 0.000 0.000  -0.05
18 Ac 0.003 0.147 0.186  0.01
19 O 0.151 0.700 0.036  0.15
20 O 0.579 0.833 0.834  0.09

## Properties
Calculated volume: 262 Å³ per cell
Energy: -7.41 eV per atom
ρ: 7.593 g/cm³
Magnetization: 1.03 μB per formula unit

***

Number 2 is which compound? Ac2TiHO6

***

Please write out number 1 again, unchanged.
VASP calculation (PBE) on a geometry-optimized Ac2TeHO structure.

Lattice parameters (Å, degrees): 4.204 4.204 7.413 106.47 106.47 90.00
Last column: magnetic moment on the atom in μB.
Element x y z (fractional)
1 Ac 0.351 0.351 0.702  0.09
2 Te 0.000 0.000 0.000  -0.01
3 O 0.750 0.250 0.500  0.02
4 Ac 0.649 0.649 0.298  0.09
5 H 0.250 0.750 0.500  0.00

## Properties
Calculated volume: 120 Å³ per cell
Energy: -5.80 eV per atom
ρ: 8.283 g/cm³
Magnetization: 0.56 μB per formula unit

***

Repeat the second record exactly.
VASP calculation (PBE) on a geometry-optimized Ac2TiHO6 structure.

Lattice parameters (Å, degrees): 5.929 4.273 10.350 90.00 92.66 90.00
Last column: magnetic moment on the atom in μB.
Element x y z (fractional)
1 O 0.651 0.800 0.536  0.15
2 O 0.300 0.251 0.892  0.23
3 H 0.500 0.000 0.500  0.00
4 H 0.000 0.500 0.000  0.00
5 O 0.700 0.749 0.108  0.23
6 O 0.200 0.751 0.608  0.23
7 O 0.421 0.167 0.166  0.09
8 Ac 0.997 0.853 0.814  0.01
9 Ac 0.503 0.353 0.686  0.01
10 O 0.079 0.667 0.334  0.09
11 O 0.921 0.333 0.666  0.09
12 O 0.349 0.200 0.464  0.15
13 Ti 0.000 0.500 0.500  -0.05
14 Ac 0.497 0.647 0.314  0.01
15 O 0.849 0.300 0.964  0.15
16 O 0.800 0.249 0.392  0.23
17 Ti 0.500 0.000 0.000  -0.05
18 Ac 0.003 0.147 0.186  0.01
19 O 0.151 0.700 0.036  0.15
20 O 0.579 0.833 0.834  0.09

## Properties
Calculated volume: 262 Å³ per cell
Energy: -7.41 eV per atom
ρ: 7.593 g/cm³
Magnetization: 1.03 μB per formula unit